Rb2Sn3Hg2 PBE optimized geometry; E = -15.32 eV/cell; D(E_F) = 4.65 states/eV per cell; space group = C2/m, No. 12; ΔE_f = -0.11 eV/atom; ρ = 6.56 g cm⁻³
1.0
-4.975 -1.051 -1.107
2.143 -3.306 5.744
-1.817 7.645 0.906
Rb Sn Hg
2 3 2
Direct
0.841 0.681 0.200 Rb
0.159 0.319 0.800 Rb
0.500 0.000 0.000 Sn
0.591 0.182 0.431 Sn
0.409 0.818 0.569 Sn
0.851 0.702 0.731 Hg
0.149 0.298 0.269 Hg


Rb2SnHg4 PBE optimized geometry; E = -7.81 eV/cell; D(E_F) = 6.11 states/eV per cell; space group = I4/mmm, No. 139; ΔE_f = -0.09 eV/atom; ρ = 5.87 g cm⁻³
1.0
-0.579 2.018 5.328
-5.697 -0.111 -0.576
-3.301 -7.864 5.698
Hg Rb Sn
4 2 1
Direct
0.174 0.174 0.652 Hg
0.826 0.826 0.348 Hg
0.000 0.500 0.000 Hg
0.500 0.000 0.000 Hg
0.366 0.366 0.267 Rb
0.634 0.634 0.733 Rb
0.000 0.000 0.000 Sn


RbSn4Hg2 PBE optimized geometry; E = -18.23 eV/cell; D(E_F) = 2.02 states/eV per cell; space group = Cmmm, No. 65; ΔE_f = -0.09 eV/atom; ρ = 7.13 g cm⁻³
1.0
4.973 0.000 0.000
0.000 5.120 0.000
0.000 -2.560 8.795
Rb Sn Hg
1 4 2
Direct
0.000 0.000 0.000 Rb
0.500 0.807 0.615 Sn
0.000 0.696 0.392 Sn
0.500 0.193 0.385 Sn
0.000 0.304 0.608 Sn
0.500 0.584 0.168 Hg
0.500 0.416 0.832 Hg